A plane-wave DFT calculation with PBE-GGA was carried out for a relaxed structure of CsZrNi2Mo.

## Properties
formation energy from the elements	1.7193	eV per atom
calculated volume	22.559	Å³/atom
density of states at the Fermi level	6.041	states/eV per cell

The structure in CIF format:
```
data_CsZrNi2Mo
_cell_length_a 4.610
_cell_length_b 4.610
_cell_length_c 5.308
_cell_angle_alpha 90.00
_cell_angle_beta 90.00
_cell_angle_gamma 90.00
_space_group_name_H-M_alt 'P 4/m m m'
_space_group_IT_number 123
_space_group_name_Hall '-P 4 2'
loop_
_atom_site_label
_atom_site_type_symbol
_atom_site_fract_x
_atom_site_fract_y
_atom_site_fract_z
Cs1 Cs 0.000 0.000 0.000
Zr1 Zr 0.500 0.500 0.000
Ni1 Ni 0.000 0.500 0.500
Mo1 Mo 0.000 0.000 0.500
```